DFT (PBE) results for a geometry-optimized Y2ZnNi2Rh5 structure.

Cell lengths 9.156, 9.156, 3.842 Å; angles 90.00, 90.00, 90.00 degrees
Sites, in units of the cell vectors:
1 Y 0.175 0.325 0.000
2 Y 0.325 0.825 0.000
3 Y 0.675 0.175 0.000
4 Y 0.825 0.675 0.000
5 Zn 0.000 0.000 0.000
6 Zn 0.500 0.500 0.000
7 Ni 0.123 0.623 0.000
8 Ni 0.377 0.123 0.000
9 Ni 0.623 0.877 0.000
10 Ni 0.877 0.377 0.000
11 Rh 0.000 0.500 0.500
12 Rh 0.066 0.795 0.500
13 Rh 0.205 0.066 0.500
14 Rh 0.295 0.566 0.500
15 Rh 0.434 0.295 0.500
16 Rh 0.500 0.000 0.500
17 Rh 0.566 0.705 0.500
18 Rh 0.705 0.434 0.500
19 Rh 0.795 0.934 0.500
20 Rh 0.934 0.205 0.500

Results
E_tot (eV per atom): -6.709
Energy of formation (meV per atom): -456